A plane-wave DFT calculation with GGA-PBE was carried out for an optimized crystal structure of NdDy3C.

Lattice parameters (Å, degrees): 5.068 5.068 5.068 90.00 90.00 90.00
Positions (direct):
Nd1 0.000 0.000 0.000
Dy1 0.000 0.500 0.500
Dy2 0.500 0.000 0.500
Dy3 0.500 0.500 0.000
C1 0.500 0.500 0.500

Summary:
ρ = 8.21 g/cm3
formation enthalpy at 0 K = -0.01 eV/atom
total magnetization = 0.00 μB per formula unit